Entry 1:
# LuZrScOs

LuZrScOs after structural relaxation (PBE, the Alexandria database).

The structure in extended XYZ format:
```
4
Lattice="4.862 0.000 0.000 2.431 4.210 0.000 2.431 1.403 3.969" Properties=species:S:1:pos:R:3 pbc="T T T"
Sc 0.000 0.000 0.000
Lu 2.431 1.403 0.992
Os 4.862 2.807 1.985
Zr 7.292 4.210 2.977
```

Values from the calculation:
Its crystal system is cubic. The energy relative to the elements comes out at -2.678 kcal/mol of atoms. As for the space group: F-43m (216).



Entry 2:
# Lu2OsSe

Lu2OsSe after structural relaxation (PBE, the Alexandria database).

The structure in extended XYZ format:
```
4
Lattice="-2.936 1.704 0.049 -0.277 -0.574 3.334 3.507 6.006 1.326" Properties=species:S:1:pos:R:3 pbc="T T T"
Lu 2.695 4.616 1.019
Lu 0.812 1.390 0.307
Os -1.607 0.565 1.692
Se 0.147 3.568 2.355
```

Values from the calculation:
Its crystal system is tetragonal. The uncorrected formation energy comes out at -884 meV/atom. As for the space group: P4/mmm (123).



Entry 3:
# LuSiOs

LuSiOs after structural relaxation (PBE, the Alexandria database).

The structure in extended XYZ format:
```
3
Lattice="-2.694 0.279 -2.127 0.944 -3.768 -1.691 -2.607 0.234 3.332" Properties=species:S:1:pos:R:3 pbc="T T T"
Si -0.688 -2.388 -0.371
Lu -3.219 -0.914 0.240
Os -0.449 0.047 -0.355
```

Values from the calculation:
Its crystal system is hexagonal. The uncorrected formation energy comes out at -554 meV/atom. As for the space group: P-6m2 (187).



Entry 4:
# LuSi2Os2

LuSi2Os2 after structural relaxation (PBE, the Alexandria database).

The structure in extended XYZ format:
```
5
Lattice="-0.628 -5.489 0.925 -0.345 -3.293 -4.518 3.406 4.060 1.814" Properties=species:S:1:pos:R:3 pbc="T T T"
Lu 0.000 0.000 0.000
Si -0.610 -5.500 -2.250
Si -0.364 -3.281 -1.342
Os 1.146 -2.910 0.472
Os 1.287 -1.812 -2.250
```

Values from the calculation:
Its crystal system is tetragonal. The uncorrected formation energy comes out at -701 meV/atom. As for the space group: I4/mmm (139).



Entry 5:
# SmLuOs

SmLuOs after structural relaxation (PBE, the Alexandria database).

The structure in extended XYZ format:
```
3
Lattice="-1.059 -1.195 2.994 -1.137 -2.810 -1.524 6.942 -0.862 0.190" Properties=species:S:1:pos:R:3 pbc="T T T"
Lu 3.394 -1.664 0.537
Os 0.904 -2.984 1.051
Sm 0.448 -0.220 0.071
```

Values from the calculation:
Its crystal system is tetragonal. The value obtained for the energy relative to the lowest polymorph listed for this composition is 0.0000 eV per atom. The energy relative to the elements comes out at -4.933 kcal/mol of atoms. As for the space group: I4mm (107).



Entry 6:
# SmLuOs

SmLuOs after structural relaxation (PBE, the Alexandria database).

The structure in extended XYZ format:
```
3
Lattice="4.782 0.000 0.000 2.391 4.141 0.000 2.391 1.380 3.904" Properties=species:S:1:pos:R:3 pbc="T T T"
Lu 0.000 0.000 0.000
Os 2.391 1.380 0.976
Sm 4.782 2.761 1.952
```

Values from the calculation:
Its crystal system is cubic. The value obtained for the energy relative to the lowest polymorph listed for this composition is 0.0327 eV per atom. The energy relative to the elements comes out at -4.178 kcal/mol of atoms. As for the space group: F-43m (216).



Entry 7:
# SmLu2Os

SmLu2Os after structural relaxation (PBE, the Alexandria database).

The structure in extended XYZ format:
```
4
Lattice="3.368 0.000 0.000 0.000 3.368 0.000 0.000 0.000 9.010" Properties=species:S:1:pos:R:3 pbc="T T T"
Lu 0.000 0.000 7.405
Lu 0.000 0.000 1.605
Os 1.684 1.684 0.000
Sm 1.684 1.684 4.505
```

Values from the calculation:
Its crystal system is tetragonal. The energy relative to the elements comes out at -5.018 kcal/mol of atoms. As for the space group: P4/mmm (123).



Entry 8:
# SmLuTlOs

SmLuTlOs after structural relaxation (PBE, the Alexandria database).

The structure in extended XYZ format:
```
4
Lattice="5.072 0.000 0.000 2.536 4.392 0.000 2.536 1.464 4.141" Properties=species:S:1:pos:R:3 pbc="T T T"
Tl 0.000 0.000 0.000
Lu 7.607 4.392 3.106
Os 5.072 2.928 2.070
Sm 2.536 1.464 1.035
```

Values from the calculation:
Its crystal system is cubic. The energy relative to the elements comes out at -2.680 kcal/mol of atoms. As for the space group: F-43m (216).



Entry 9:
# LuSn2Os

LuSn2Os after structural relaxation (PBE, the Alexandria database).

The structure in extended XYZ format:
```
4
Lattice="4.505 0.000 0.000 2.252 3.901 0.000 2.252 1.300 4.888" Properties=species:S:1:pos:R:3 pbc="T T T"
Lu 0.000 0.000 0.000
Os 4.505 2.601 2.444
Sn 6.757 3.901 3.364
Sn 2.252 1.300 1.525
```

Values from the calculation:
Its crystal system is trigonal. The energy relative to the elements comes out at -2.384 kcal/mol of atoms. As for the space group: R-3m (166).



Entry 10:
# SrLu2Os

SrLu2Os after structural relaxation (PBE, the Alexandria database).

The structure in extended XYZ format:
```
4
Lattice="-3.005 0.795 1.403 -1.561 -2.179 -2.108 1.158 -7.152 6.534" Properties=species:S:1:pos:R:3 pbc="T T T"
Sr -1.704 -4.268 2.915
Lu 0.970 -5.990 5.473
Lu 0.188 -1.162 1.061
Os -2.283 -0.692 -0.353
```

Values from the calculation:
Its crystal system is tetragonal. The energy relative to the elements comes out at -3.517 kcal/mol of atoms. As for the space group: P4/mmm (123).



Entry 11:
# LuTaOs4

LuTaOs4 after structural relaxation (PBE, the Alexandria database).

The structure in extended XYZ format:
```
6
Lattice="5.225 0.000 0.000 2.612 4.525 0.000 2.612 1.508 4.266" Properties=species:S:1:pos:R:3 pbc="T T T"
Lu 0.000 0.000 0.000
Os 5.225 3.017 0.530
Os 5.225 1.505 2.668
Os 6.534 3.772 2.668
Os 3.916 3.772 2.668
Ta 2.612 1.508 1.067
```

Values from the calculation:
Its crystal system is cubic. The energy relative to the elements comes out at -3.005 kcal/mol of atoms. As for the space group: F-43m (216).



Entry 12:
# LuTaTcOs

LuTaTcOs after structural relaxation (PBE, the Alexandria database).

The structure in extended XYZ format:
```
4
Lattice="4.594 0.000 0.000 2.297 3.978 0.000 2.297 1.326 3.751" Properties=species:S:1:pos:R:3 pbc="T T T"
Lu 4.594 2.652 1.875
Os 6.891 3.978 2.813
Tc 2.297 1.326 0.938
Ta 0.000 0.000 0.000
```

Values from the calculation:
Its crystal system is cubic. The energy relative to the elements comes out at -7.444 kcal/mol of atoms. As for the space group: F-43m (216).



Entry 13:
# LuTaZnOs

LuTaZnOs after structural relaxation (PBE, the Alexandria database).

The structure in extended XYZ format:
```
4
Lattice="-2.863 -0.860 -3.552 -3.232 -3.312 0.373 -4.486 1.158 0.301" Properties=species:S:1:pos:R:3 pbc="T T T"
Zn 0.000 0.000 0.000
Lu -7.935 -2.260 -2.158
Os -5.290 -1.507 -1.439
Ta -2.645 -0.753 -0.719
```

Values from the calculation:
Its crystal system is cubic. The energy relative to the elements comes out at -3.546 kcal/mol of atoms. As for the space group: F-43m (216).



Entry 14:
# TbLuOs

TbLuOs after structural relaxation (PBE, the Alexandria database).

The structure in extended XYZ format:
```
3
Lattice="3.371 0.000 0.000 0.000 3.371 0.000 -1.685 -1.685 6.488" Properties=species:S:1:pos:R:3 pbc="T T T"
Os 1.685 1.685 2.197
Lu 0.000 0.000 3.784
Tb 0.000 0.000 0.507
```

Values from the calculation:
Its crystal system is tetragonal. The value obtained for the energy relative to the lowest polymorph listed for this composition is 0.0000 eV per atom. The energy relative to the elements comes out at -6.269 kcal/mol of atoms. As for the space group: I4mm (107).



Entry 15:
# TbLu3Os

TbLu3Os after structural relaxation (PBE, the Alexandria database).

The structure in extended XYZ format:
```
5
Lattice="-4.260 2.000 -2.471 0.011 -4.123 -3.355 -3.179 -2.694 3.300" Properties=species:S:1:pos:R:3 pbc="T T T"
Tb -3.714 -2.408 -1.263
Lu 0.005 -2.062 -1.677
Lu -1.590 -1.347 1.650
Lu -2.130 1.000 -1.236
Os 0.000 0.000 0.000
```

Values from the calculation:
Its crystal system is cubic. The energy relative to the elements comes out at -0.603 kcal/mol of atoms. As for the space group: Pm-3m (221).